The following is a DFT calculation (PBE) of a relaxed DyEr2NbN4 crystal.

Computed properties:
Density = 10.1 Mg/m³
Formation energy from raw total energies = -1.55 eV/atom
Magnetic moment = 0.00 μB/atom
Symmetry = P2/m, No. 10

a b c (Å): 3.336 5.801 5.795
angles (deg): 109.14 90.00 90.00
Sites, in units of the cell vectors:
Dy 0.500 0.500 0.000
N 0.500 0.764 0.762
N 0.000 0.762 0.242
N 0.000 0.238 0.758
N 0.500 0.236 0.238
Er 0.000 0.500 0.500
Er 0.500 0.000 0.500
Nb 0.000 0.000 0.000

The following is a DFT calculation (PBE) of a relaxed NdDy2ErN4 crystal.

Computed properties:
Density = 9.4 Mg/m³
Formation energy from raw total energies = -1.61 eV/atom
Magnetic moment = 0.00 μB/atom
Symmetry = P2/m, No. 10

a b c (Å): 3.510 6.080 6.078
angles (deg): 109.42 90.00 90.00
Sites, in units of the cell vectors:
N 0.000 0.758 0.257
N 0.500 0.245 0.252
N 0.000 0.242 0.743
N 0.500 0.755 0.748
Nd 0.500 0.500 0.000
Dy 0.000 0.500 0.500
Dy 0.500 0.000 0.500
Er 0.000 0.000 0.000

The following is a DFT calculation (PBE) of a relaxed NdDyErN3 crystal.

Computed properties:
Density = 9.1 Mg/m³
Formation energy from raw total energies = -1.44 eV/atom
Magnetic moment = 0.00 μB/atom
Symmetry = P2_1/m, No. 11

a b c (Å): 3.509 6.026 9.065
angles (deg): 101.82 90.00 90.00
Sites, in units of the cell vectors:
Dy 0.750 0.231 0.955
Dy 0.250 0.769 0.045
N 0.250 0.458 0.832
N 0.750 0.244 0.510
N 0.250 0.965 0.845
N 0.750 0.542 0.168
N 0.250 0.756 0.490
N 0.750 0.035 0.155
Er 0.750 0.852 0.360
Er 0.250 0.148 0.640
Nd 0.750 0.654 0.698
Nd 0.250 0.346 0.302

The following is a DFT calculation (PBE) of a relaxed PmDy2ErN4 crystal.

Computed properties:
Density = 9.5 Mg/m³
Formation energy from raw total energies = -1.64 eV/atom
Magnetic moment = 0.00 μB/atom
Symmetry = P2/m, No. 10

a b c (Å): 3.500 6.061 6.060
angles (deg): 109.43 90.00 90.00
Sites, in units of the cell vectors:
N 0.000 0.243 0.745
N 0.500 0.245 0.251
N 0.500 0.755 0.749
N 0.000 0.757 0.255
Pm 0.500 0.500 0.000
Dy 0.000 0.500 0.500
Dy 0.500 0.000 0.500
Er 0.000 0.000 0.000

The following is a DFT calculation (PBE) of a relaxed Pm2DyErN4 crystal.

Computed properties:
Density = 9.0 Mg/m³
Formation energy from raw total energies = -1.57 eV/atom
Magnetic moment = 0.00 μB/atom
Symmetry = P2/m, No. 10

a b c (Å): 3.533 6.116 6.122
angles (deg): 109.42 90.00 90.00
Sites, in units of the cell vectors:
N 0.000 0.252 0.759
N 0.500 0.245 0.240
N 0.500 0.755 0.760
N 0.000 0.748 0.241
Pm 0.500 0.000 0.500
Pm 0.000 0.500 0.500
Er 0.000 0.000 0.000
Dy 0.500 0.500 0.000

The following is a DFT calculation (PBE) of a relaxed PmDyEr2N4 crystal.

Computed properties:
Density = 9.7 Mg/m³
Formation energy from raw total energies = -1.66 eV/atom
Magnetic moment = 0.00 μB/atom
Symmetry = P2/m, No. 10

a b c (Å): 3.487 6.039 6.041
angles (deg): 109.43 90.00 90.00
Sites, in units of the cell vectors:
N 0.500 0.752 0.745
N 0.000 0.243 0.741
N 0.500 0.248 0.255
N 0.000 0.757 0.259
Er 0.500 0.000 0.500
Er 0.000 0.500 0.500
Dy 0.000 0.000 0.000
Pm 0.500 0.500 0.000

The following is a DFT calculation (PBE) of a relaxed PrDyErN3 crystal.

Computed properties:
Density = 9.0 Mg/m³
Formation energy from raw total energies = -1.42 eV/atom
Magnetic moment = 0.00 μB/atom
Symmetry = P2_1/m, No. 11

a b c (Å): 3.528 6.043 9.090
angles (deg): 101.91 90.00 90.00
Sites, in units of the cell vectors:
N 0.250 0.456 0.833
N 0.750 0.544 0.167
N 0.750 0.035 0.154
N 0.750 0.242 0.512
N 0.250 0.965 0.846
N 0.250 0.758 0.488
Dy 0.750 0.231 0.955
Dy 0.250 0.769 0.045
Pr 0.750 0.653 0.698
Pr 0.250 0.347 0.302
Er 0.750 0.854 0.359
Er 0.250 0.146 0.641

The following is a DFT calculation (PBE) of a relaxed DyEr2PuN4 crystal.

Computed properties:
Density = 11.4 Mg/m³
Formation energy from raw total energies = -1.62 eV/atom
Magnetic moment = 0.59 μB/atom
Symmetry = P2/m, No. 10

a b c (Å): 3.457 5.963 5.963
angles (deg): 109.39 90.00 90.00
Each line ends with the local moment (μB).
Sites, in units of the cell vectors:
Pu 0.000 0.000 0.000  4.58
N 0.500 0.246 0.248  -0.12
N 0.000 0.754 0.250  -0.06
N 0.000 0.246 0.750  -0.06
N 0.500 0.754 0.752  -0.12
Er 0.000 0.500 0.500  0.10
Er 0.500 0.000 0.500  0.10
Dy 0.500 0.500 0.000  0.11

The following is a DFT calculation (PBE) of a relaxed DyErSN crystal.

Computed properties:
Density = 8.9 Mg/m³
Formation energy from raw total energies = -1.87 eV/atom
Magnetic moment = 0.00 μB/atom
Symmetry = R3m, No. 160

a b c (Å): 3.599 3.599 6.573
angles (deg): 74.11 74.11 60.00
Sites, in units of the cell vectors:
N 0.002 0.002 0.995
Er 0.736 0.736 0.792
Dy 0.264 0.264 0.209
S 0.499 0.499 0.503

The following is a DFT calculation (PBE) of a relaxed SmDyEr2N4 crystal.

Computed properties:
Density = 9.8 Mg/m³
Formation energy from raw total energies = -1.68 eV/atom
Magnetic moment = 0.00 μB/atom
Symmetry = P2/m, No. 10

a b c (Å): 3.481 6.027 6.028
angles (deg): 109.44 90.00 90.00
Sites, in units of the cell vectors:
Sm 0.500 0.500 0.000
N 0.000 0.244 0.742
N 0.000 0.756 0.258
N 0.500 0.248 0.255
N 0.500 0.752 0.745
Dy 0.000 0.000 0.000
Er 0.500 0.000 0.500
Er 0.000 0.500 0.500

The following is a DFT calculation (PBE) of a relaxed SmDyErN3 crystal.

Computed properties:
Density = 9.4 Mg/m³
Formation energy from raw total energies = -1.46 eV/atom
Magnetic moment = 0.00 μB/atom
Symmetry = P2_1/m, No. 11

a b c (Å): 3.475 5.998 9.026
angles (deg): 101.60 90.00 90.00
Sites, in units of the cell vectors:
Dy 0.750 0.231 0.955
Dy 0.250 0.769 0.045
N 0.250 0.964 0.844
N 0.750 0.036 0.156
N 0.250 0.754 0.494
N 0.750 0.246 0.506
N 0.250 0.460 0.830
N 0.750 0.540 0.170
Er 0.750 0.850 0.361
Er 0.250 0.150 0.639
Sm 0.750 0.655 0.698
Sm 0.250 0.345 0.302

The following is a DFT calculation (PBE) of a relaxed Sm2DyErN4 crystal.

Computed properties:
Density = 9.2 Mg/m³
Formation energy from raw total energies = -1.60 eV/atom
Magnetic moment = 0.00 μB/atom
Symmetry = P2/m, No. 10

a b c (Å): 3.520 6.094 6.098
angles (deg): 109.42 90.00 90.00
Sites, in units of the cell vectors:
Er 0.000 0.000 0.000
Dy 0.500 0.500 0.000
Sm 0.000 0.500 0.500
Sm 0.500 0.000 0.500
N 0.500 0.246 0.241
N 0.000 0.251 0.758
N 0.000 0.749 0.242
N 0.500 0.754 0.759

no.,electronic total energy (eV/atom),volume (Å³/atom)
1,-8.69,13.24
2,-8.09,15.29
3,-7.92,15.64
4,-8.12,15.15
5,-8.07,15.60
6,-8.13,15.00
7,-7.91,15.80
8,-9.29,14.49
9,-7.27,17.49
10,-8.14,14.91
11,-7.93,15.36
12,-8.09,15.42